Material: MnB4
Method: DFT, GGA-PBEsol
State: optimized geometry

The density of states at the Fermi level comes out at 1.510 states/eV per cell. Its energy above the most stable polymorph in this dataset is 0.0259 eV per atom. For the uncorrected energy, the calculation gives -7.887 eV/atom. The value obtained for the formation enthalpy at 0 K is -0.32 eV per atom. Its total magnetization is 0.5 μB/f.u.

The structure belongs to space group Immm (No. 71); the cell edges are 2.9315, 4.5839 and 5.3457 Å and the angles 90.00°, 90.00° and 90.00°. The inequivalent atoms are Mn at (0.0000, 0.0000, 0.0000) and B at (0.0000, 0.2035, 0.3405).

Material: K2CoSe2O6
Method: DFT, GGA-PBEsol
State: optimized geometry

The density of states at the Fermi level comes out at 7.982 states/eV per cell. For the uncorrected energy, the calculation gives -5.622 eV/atom. The calculation puts the uncorrected formation energy at -1.15 eV per atom. Its total magnetization is 3.0 μB/f.u.

The structure belongs to space group C2/m (No. 12); the cell edges are 9.4789, 5.5217 and 6.9391 Å and the angles 90.00°, 117.65° and 90.00°. The inequivalent atoms are K at (0.1947, 0.0000, 0.0816), Co at (0.0000, 0.0000, 0.5000), Se at (0.1331, 0.5000, 0.3984), O at (0.0130, 0.2545, 0.2758) and O at (0.2376, 0.0000, 0.7144).

Material: BePH4NO4
Method: DFT, GGA-PBEsol
State: optimized geometry

The density of states at the Fermi level comes out at 0.000 states/eV per cell. For the uncorrected energy, the calculation gives -6.387 eV/atom. Its total magnetization is 0.0 μB/f.u.

The structure belongs to space group Pna2_1 (No. 33); the cell edges are 8.6924, 8.6190 and 4.9305 Å and the angles 90.00°, 90.00° and 90.00°. The inequivalent atoms are Be at (0.1755, 0.0935, 0.0000), P at (0.1856, 0.9154, 0.4999), H at (0.0062, 0.2084, 0.3526), H at (0.0121, 0.2703, 0.6773), H at (0.0991, 0.6353, 0.9374), H at (0.1018, 0.3723, 0.4243), N at (0.0045, 0.3056, 0.4770), O at (0.0106, 0.8925, 0.4940), O at (0.2346, 0.0469, 0.3034), O at (0.2360, 0.2639, 0.9178) and O at (0.2380, 0.9624, 0.7892).

Material: ErBO3
Method: DFT, GGA-PBEsol
State: optimized geometry

The density of states at the Fermi level comes out at 0.000 states/eV per cell. For the uncorrected energy, the calculation gives -8.631 eV/atom. The calculation puts the uncorrected formation energy at -3.09 eV per atom. Its total magnetization is 0.0 μB/f.u.

The structure belongs to space group Ama2 (No. 40); the cell edges are 8.4035, 6.3445 and 4.2554 Å and the angles 90.00°, 90.00° and 90.00°. The inequivalent atoms are Er at (0.0000, 0.0000, 0.0000), B at (0.2500, 0.1369, 0.5624), O at (0.1016, 0.1707, 0.4279) and O at (0.2500, 0.0698, 0.8684).